Here is crystalline AcMnSeO2 at its relaxed geometry from the Alexandria database. Energies are from PBE with a Hubbard U.

a = 5.8077 Å, b = 12.3936 Å, c = 5.5512 Å
α = 90.00°, β = 90.00°, γ = 90.00°
With the nearest neighbours (Å) after each atom.
Space group Cmcm (No. 63)
One atom of each set of equivalent atoms:
Ac1 0.0000 0.1316 0.2500  4 O 2.65
Mn1 0.0000 0.4967 0.2500  4 O 1.93
Se1 0.0000 0.2641 0.7500  1 Mn 2.96, 4 Ac 3.18-3.23
O1 0.2316 0.5000 0.0000  2 Mn 1.93

crystal system: orthorhombic
raw total energy: -0.522 Ry per atom
V: 19.98 Å³ per atom